(1)
A geometry-optimized Dy2Ho3Os2 structure, computed with PBE.

Computed properties:
As for the calculated density: 11.13 Mg/m³. Its formation energy is -5.9 kcal/mol of atoms. Its total energy is -0.24775 hartree per atom. The calculation puts the total magnetic moment at 0.0 μB/f.u.

```
data_Dy2Ho3Os2
_chemical_formula_sum 'Dy4 Ho6 Os4'
_cell_length_a 11.872
_cell_length_b 3.957
_cell_length_c 8.262
_cell_angle_alpha 90.00
_cell_angle_beta 112.70
_cell_angle_gamma 90.00
_space_group_name_H-M_alt 'C 1 2/m 1'
_space_group_IT_number 12
_space_group_name_Hall '-C 2y'
loop_
_atom_site_label
_atom_site_type_symbol
_atom_site_fract_x
_atom_site_fract_y
_atom_site_fract_z
Dy1 Dy 0.165 0.000 0.315
Ho1 Ho 0.000 0.500 0.500
Ho2 Ho 0.125 0.500 0.931
Os1 Os 0.177 0.000 0.715
```



(2)
A geometry-optimized Mn3PbI8 structure, computed with PBE.

Computed properties:
As for the calculated density: 4.77 Mg/m³. As for the energy relative to the elements, uncorrected: -0.464 eV/atom. Its total energy is -0.15064 hartree per atom. The calculation puts the total magnetic moment at 15.0 μB/f.u.

```
data_Mn3PbI8
_chemical_formula_sum 'Mn6 Pb2 I16'
_cell_length_a 14.923
_cell_length_b 8.613
_cell_length_c 9.087
_cell_angle_alpha 90.00
_cell_angle_beta 124.14
_cell_angle_gamma 90.00
_space_group_name_H-M_alt 'C 1 2/m 1'
_space_group_IT_number 12
_space_group_name_Hall '-C 2y'
loop_
_atom_site_label
_atom_site_type_symbol
_atom_site_fract_x
_atom_site_fract_y
_atom_site_fract_z
Mn1 Mn 0.000 0.000 0.000
Mn2 Mn 0.250 0.250 0.000
Pb1 Pb 0.000 0.500 0.000
I1 I 0.012 0.230 0.773
I2 I 0.240 0.000 0.215
I3 I 0.242 0.000 0.773
```



(3)
A geometry-optimized AlNi2Te structure, computed with PBE.

Computed properties:
As for the calculated density: 6.38 Mg/m³. As for the energy relative to the elements, uncorrected: 0.002 eV/atom. Its total energy is -0.16942 hartree per atom. The calculation puts the total magnetic moment at 0.0 μB/f.u.

```
data_AlNi2Te
_chemical_formula_sum 'Al3 Ni6 Te3'
_cell_length_a 3.8982
_cell_length_b 3.8982
_cell_length_c 16.1324
_cell_angle_alpha 90.00
_cell_angle_beta 90.00
_cell_angle_gamma 120.00
_space_group_name_H-M_alt 'R 3 m'
_space_group_IT_number 160
_space_group_name_Hall 'R 3 -2"'
loop_
_atom_site_label
_atom_site_type_symbol
_atom_site_fract_x
_atom_site_fract_y
_atom_site_fract_z
Al1 Al 0.0000 0.0000 0.0000
Ni1 Ni 0.0000 0.0000 0.4338
Ni2 Ni 0.0000 0.0000 0.7231
Te1 Te 0.0000 0.0000 0.1810
```



(4)
A geometry-optimized Ag2TeAu structure, computed with PBE.

Computed properties:
As for the calculated density: 10.71 Mg/m³. As for the energy relative to the elements, uncorrected: 0.157 eV/atom. Its total energy is -0.10560 hartree per atom. The calculation puts the total magnetic moment at 0.0 μB/f.u.

```
data_Ag2TeAu
_chemical_formula_sum 'Ag8 Te4 Au4'
_cell_length_a 6.947
_cell_length_b 6.947
_cell_length_c 6.947
_cell_angle_alpha 90.00
_cell_angle_beta 90.00
_cell_angle_gamma 90.00
_space_group_name_H-M_alt 'F -4 3 m'
_space_group_IT_number 216
_space_group_name_Hall 'F -4 2 3'
loop_
_atom_site_label
_atom_site_type_symbol
_atom_site_fract_x
_atom_site_fract_y
_atom_site_fract_z
Ag1 Ag 0.000 0.000 0.000
Ag2 Ag 0.250 0.250 0.250
Te1 Te 0.000 0.000 0.500
Au1 Au 0.250 0.250 0.750
```



(5)
A geometry-optimized InAu structure, computed with PBE.

Computed properties:
As for the calculated density: 6.91 Mg/m³. Its formation energy is 2.6 kcal/mol of atoms. Its total energy is -0.10634 hartree per atom. The calculation puts the total magnetic moment at 0.0 μB/f.u.

```
data_InAu
_chemical_formula_sum 'In8 Au8'
_cell_length_a 8.432
_cell_length_b 8.432
_cell_length_c 8.432
_cell_angle_alpha 90.00
_cell_angle_beta 90.00
_cell_angle_gamma 90.00
_space_group_name_H-M_alt 'I -4 3 m'
_space_group_IT_number 217
_space_group_name_Hall 'I -4 2 3'
loop_
_atom_site_label
_atom_site_type_symbol
_atom_site_fract_x
_atom_site_fract_y
_atom_site_fract_z
In1 In 0.196 0.196 0.196
Au1 Au 0.125 0.125 0.875
```



(6)
A geometry-optimized PmCu2I8 structure, computed with PBE.

Computed properties:
As for the calculated density: 5.18 Mg/m³. As for the energy relative to the elements, uncorrected: -0.452 eV/atom. Its total energy is -0.10130 hartree per atom. The calculation puts the total magnetic moment at 0.0 μB/f.u.

```
data_PmCu2I8
_chemical_formula_sum 'Pm2 Cu4 I16'
_cell_length_a 7.934
_cell_length_b 7.934
_cell_length_c 13.106
_cell_angle_alpha 90.00
_cell_angle_beta 90.00
_cell_angle_gamma 90.00
_space_group_name_H-M_alt 'I 4 2 2'
_space_group_IT_number 97
_space_group_name_Hall 'I 4 2'
loop_
_atom_site_label
_atom_site_type_symbol
_atom_site_fract_x
_atom_site_fract_y
_atom_site_fract_z
Pm1 Pm 0.000 0.000 0.000
Cu1 Cu 0.000 0.500 0.250
I1 I 0.172 0.319 0.885
```



(7)
A geometry-optimized RhPbCl structure, computed with PBE.

Computed properties:
As for the calculated density: 8.44 Mg/m³. As for the energy relative to the elements, uncorrected: -0.019 eV/atom. Its total energy is -0.15881 hartree per atom. The calculation puts the total magnetic moment at 0.0 μB/f.u.

```
data_RhPbCl
_chemical_formula_sum 'Rh4 Pb4 Cl4'
_cell_length_a 6.480
_cell_length_b 6.480
_cell_length_c 6.480
_cell_angle_alpha 90.00
_cell_angle_beta 90.00
_cell_angle_gamma 90.00
_space_group_name_H-M_alt 'F -4 3 m'
_space_group_IT_number 216
_space_group_name_Hall 'F -4 2 3'
loop_
_atom_site_label
_atom_site_type_symbol
_atom_site_fract_x
_atom_site_fract_y
_atom_site_fract_z
Rh1 Rh 0.000 0.000 0.000
Pb1 Pb 0.250 0.250 0.250
Cl1 Cl 0.250 0.250 0.750
```



(8)
A geometry-optimized BaIrBr2 structure, computed with PBE.

Computed properties:
As for the calculated density: 5.89 Mg/m³. As for the energy relative to the elements, uncorrected: -0.506 eV/atom. Its total energy is -0.14839 hartree per atom. The calculation puts the total magnetic moment at 1.0 μB/f.u.

```
data_BaIrBr2
_chemical_formula_sum 'Ba2 Ir2 Br4'
_cell_length_a 11.687
_cell_length_b 4.560
_cell_length_c 5.267
_cell_angle_alpha 90.00
_cell_angle_beta 100.71
_cell_angle_gamma 90.00
_space_group_name_H-M_alt 'C 1 m 1'
_space_group_IT_number 8
_space_group_name_Hall 'C -2y'
loop_
_atom_site_label
_atom_site_type_symbol
_atom_site_fract_x
_atom_site_fract_y
_atom_site_fract_z
Ba1 Ba 0.000 0.000 0.000
Ir1 Ir 0.298 0.000 0.146
Br1 Br 0.231 0.500 0.092
Br2 Br 0.488 0.000 0.514
```



(9)
A geometry-optimized KPrSBr structure, computed with PBE.

Computed properties:
As for the calculated density: 4.04 Mg/m³. As for the energy relative to the elements, uncorrected: -1.586 eV/atom. Its total energy is -0.16558 hartree per atom. The calculation puts the total magnetic moment at 0.0 μB/f.u.

```
data_KPrSBr
_chemical_formula_sum 'K3 Pr3 S3 Br3'
_cell_length_a 4.1498
_cell_length_b 4.1498
_cell_length_c 24.1274
_cell_angle_alpha 90.00
_cell_angle_beta 90.00
_cell_angle_gamma 120.00
_space_group_name_H-M_alt 'R 3 m'
_space_group_IT_number 160
_space_group_name_Hall 'R 3 -2"'
loop_
_atom_site_label
_atom_site_type_symbol
_atom_site_fract_x
_atom_site_fract_y
_atom_site_fract_z
K1 K 0.0000 0.0000 0.0000
Pr1 Pr 0.0000 0.0000 0.8113
S1 S 0.0000 0.0000 0.4134
Br1 Br 0.0000 0.0000 0.2297
```



(10)
A geometry-optimized Ca2Pd2I structure, computed with PBE.

Computed properties:
As for the calculated density: 5.15 Mg/m³. As for the energy relative to the elements, uncorrected: -0.733 eV/atom. Its total energy is -0.14407 hartree per atom. The calculation puts the total magnetic moment at 0.0 μB/f.u.

```
data_Ca2Pd2I
_chemical_formula_sum 'Ca4 Pd4 I2'
_cell_length_a 4.000
_cell_length_b 4.000
_cell_length_c 16.917
_cell_angle_alpha 90.00
_cell_angle_beta 90.00
_cell_angle_gamma 90.00
_space_group_name_H-M_alt 'I 4/m m m'
_space_group_IT_number 139
_space_group_name_Hall '-I 4 2'
loop_
_atom_site_label
_atom_site_type_symbol
_atom_site_fract_x
_atom_site_fract_y
_atom_site_fract_z
Ca1 Ca 0.000 0.000 0.131
Pd1 Pd 0.000 0.500 0.250
I1 I 0.000 0.000 0.500
```



(11)
A geometry-optimized CaZr2 structure, computed with PBE.

Computed properties:
As for the calculated density: 4.47 Mg/m³. Its formation energy is 4.3 kcal/mol of atoms. Its total energy is -0.22706 hartree per atom. The calculation puts the total magnetic moment at 0.0 μB/f.u.

```
data_CaZr2
_chemical_formula_sum 'Ca4 Zr8'
_cell_length_a 10.857
_cell_length_b 3.289
_cell_length_c 10.192
_cell_angle_alpha 90.00
_cell_angle_beta 114.76
_cell_angle_gamma 90.00
_space_group_name_H-M_alt 'C 1 2/m 1'
_space_group_IT_number 12
_space_group_name_Hall '-C 2y'
loop_
_atom_site_label
_atom_site_type_symbol
_atom_site_fract_x
_atom_site_fract_y
_atom_site_fract_z
Ca1 Ca 0.167 0.000 0.100
Zr1 Zr 0.007 0.500 0.304
Zr2 Zr 0.171 0.000 0.577
```



(12)
A geometry-optimized LiGaCuSb structure, computed with PBE.

Computed properties:
As for the calculated density: 6.06 Mg/m³. As for the energy relative to the elements, uncorrected: -0.122 eV/atom. Its total energy is -0.12539 hartree per atom. The calculation puts the total magnetic moment at 0.0 μB/f.u.

```
data_LiGaCuSb
_chemical_formula_sum 'Li4 Ga4 Cu4 Sb4'
_cell_length_a 6.595
_cell_length_b 6.595
_cell_length_c 6.595
_cell_angle_alpha 90.00
_cell_angle_beta 90.00
_cell_angle_gamma 90.00
_space_group_name_H-M_alt 'F -4 3 m'
_space_group_IT_number 216
_space_group_name_Hall 'F -4 2 3'
loop_
_atom_site_label
_atom_site_type_symbol
_atom_site_fract_x
_atom_site_fract_y
_atom_site_fract_z
Li1 Li 0.000 0.000 0.000
Ga1 Ga 0.250 0.250 0.750
Cu1 Cu 0.000 0.000 0.500
Sb1 Sb 0.250 0.250 0.250
```